# 1
Computed, not measured: an optimized crystal structure of Be2AsPt at the GGA-PBE level of DFT.

Calculated values
* space-group type: F-43m
* total magnetic moment: 0.000 μB/atom
* energy of formation: 192 meV per atom

```
4
Lattice="4.214 0.000 0.000 2.107 3.649 0.000 2.107 1.216 3.440" Properties=species:S:1:pos:R:3 pbc="T T T"
Be 0.000 0.000 0.000
Be 6.320 3.649 2.580
As 4.214 2.433 1.720
Pt 2.107 1.216 0.860
```

---

# 2
Computed, not measured: an optimized crystal structure of PrPaRu2 at the GGA-PBE level of DFT.

Calculated values
* space-group type: Fm-3m
* total magnetic moment: 0.000 μB/atom
* energy of formation: -180 meV per atom

```
4
Lattice="4.923 0.000 0.000 2.462 4.264 0.000 2.462 1.421 4.020" Properties=species:S:1:pos:R:3 pbc="T T T"
Pr 0.000 0.000 0.000
Ru 2.462 1.421 1.005
Ru 7.385 4.264 3.015
Pa 4.923 2.843 2.010
```

---

# 3
Computed, not measured: an optimized crystal structure of Pa3Co2B3 at the GGA-PBE level of DFT.

Calculated values
* space-group type: Cmcm
* total magnetic moment: 0.000 μB/atom
* energy of formation: -301 meV per atom

```
16
Lattice="-3.280 -0.322 1.355 2.588 -4.688 0.467 4.327 3.515 11.309" Properties=species:S:1:pos:R:3 pbc="T T T"
Pa 0.874 -2.956 6.100
Pa 3.994 2.462 10.251
Pa -0.358 -3.957 2.879
Pa 2.761 1.461 7.030
Pa -0.315 -0.525 3.798
Pa 3.950 -0.970 9.332
Co 2.771 0.301 11.465
Co 2.143 -0.758 5.007
Co 1.493 -0.737 8.124
Co 0.864 -1.796 1.665
B 0.650 -0.010 6.257
B 4.825 0.010 11.682
B -1.190 -1.505 1.449
B 2.985 -1.485 6.873
B 1.713 -2.347 3.588
B 1.923 0.852 9.542
```

---

# 4
Computed, not measured: an optimized crystal structure of BiMo3S at the GGA-PBE level of DFT.

Calculated values
* ΔE_f (raw): 2708 meV per atom
* space-group type: Pm-3m
* total magnetic moment: 0.000 μB/atom
* polymorph energy (0 for the lowest one): 2.1427 eV/atom

```
5
Lattice="-3.254 -3.652 -1.302 -0.887 -0.952 4.891 -3.774 3.372 -0.028" Properties=species:S:1:pos:R:3 pbc="T T T"
S -3.958 -0.616 1.781
Mo -0.444 -0.476 2.446
Mo -1.887 1.686 -0.014
Mo -1.627 -1.826 -0.651
Bi 0.000 0.000 0.000
```

---

# 5
Computed, not measured: an optimized crystal structure of CaZn3W at the GGA-PBE level of DFT.

Calculated values
* space-group type: Pm-3m
* total magnetic moment: 0.000 μB/atom
* polymorph energy (0 for the lowest one): 1.4646 eV/atom
* energy of formation: 2014 meV per atom

```
5
Lattice="-2.331 0.114 -4.255 -0.259 -4.846 0.012 -4.249 0.233 2.334" Properties=species:S:1:pos:R:3 pbc="T T T"
Zn -0.130 -2.423 0.006
Zn -2.124 0.116 1.167
Zn -1.166 0.057 -2.128
Ca 0.000 0.000 0.000
W -3.419 -2.250 -0.955
```

---

# 6
Computed, not measured: an optimized crystal structure of TiCu3Pt4 at the GGA-PBE level of DFT.

Calculated values
* space-group type: Pmma
* total magnetic moment: 0.000 μB/atom
* energy of formation: -452 meV per atom

```
16
Lattice="-2.952 -2.756 -2.156 3.325 0.008 -4.562 4.309 -7.062 3.129" Properties=species:S:1:pos:R:3 pbc="T T T"
Pt 1.021 -1.372 -4.505
Pt 3.176 -4.904 -2.941
Pt -0.649 -1.376 -2.213
Pt 1.506 -4.907 -0.649
Pt 5.392 -5.616 -1.351
Pt 0.983 -4.191 -4.562
Pt -0.710 -4.195 -2.239
Pt 3.699 -5.620 0.972
Cu 0.000 0.000 0.000
Cu 2.155 -3.531 1.564
Cu 1.384 -7.022 0.997
Cu -0.027 -2.796 -0.024
Cu 3.074 -6.993 -1.264
Cu 1.608 -2.818 -2.325
Ti 1.662 0.004 -2.281
Ti 3.817 -3.527 -0.717
```

---

# 7
Computed, not measured: an optimized crystal structure of La4Pr2Sb3H2 at the GGA-PBE level of DFT.

Calculated values
* space-group type: I4/mmm
* total magnetic moment: 0.000 μB/atom
* VASP energy: -5.19 eV/atom

```
11
Lattice="4.839 0.000 0.000 0.000 4.839 0.000 -2.419 -2.419 13.094" Properties=species:S:1:pos:R:3 pbc="T T T"
La 0.000 2.419 10.917
La 2.419 0.000 10.917
La 0.000 2.419 2.177
La 2.419 0.000 2.177
Pr 0.000 0.000 7.837
Pr 2.419 2.419 5.257
Sb 0.000 0.000 0.000
Sb 0.000 0.000 4.582
Sb 2.419 2.419 8.512
H 0.000 0.000 10.309
H 2.419 2.419 2.785
```

---

# 8
Computed, not measured: an optimized crystal structure of AcTcNiP2 at the GGA-PBE level of DFT.

Calculated values
* space-group type: I-4m2
* total magnetic moment: 0.000 μB/atom
* energy of formation: -912 meV per atom

```
5
Lattice="-0.236 -3.599 -1.472 3.874 -0.344 0.221 -2.338 -0.279 6.212" Properties=species:S:1:pos:R:3 pbc="T T T"
Ac 0.000 0.000 0.000
Tc -0.378 -2.925 2.058
Ni 1.677 -1.297 2.904
P 1.668 -2.625 0.996
P -0.369 -1.598 3.966
```

---

# 9
Computed, not measured: an optimized crystal structure of SmScGeAu at the GGA-PBE level of DFT.

Calculated values
* space-group type: F-43m
* total magnetic moment: 0.177 μB/atom
* energy of formation: -698 meV per atom

```
4
Lattice="5.005 0.000 0.000 2.503 4.335 0.000 2.503 1.445 4.087" Properties=species:S:1:pos:R:3 pbc="T T T"
Sc 5.005 2.890 2.043
Ge 7.508 4.335 3.065
Au 2.503 1.445 1.022
Sm 0.000 0.000 0.000
```

---

# 10
Computed, not measured: an optimized crystal structure of Ho5HgAu4 at the GGA-PBE level of DFT.

Calculated values
* space-group type: P4/mmm
* total magnetic moment: 0.000 μB/atom
* energy of formation: -794 meV per atom

```
10
Lattice="3.597 0.000 0.000 0.000 3.597 0.000 0.000 0.000 18.148" Properties=species:S:1:pos:R:3 pbc="T T T"
Ho 1.798 1.798 1.926
Ho 1.798 1.798 5.480
Ho 1.798 1.798 9.074
Ho 1.798 1.798 12.669
Ho 1.798 1.798 16.222
Hg 0.000 0.000 0.000
Au 0.000 0.000 3.672
Au 0.000 0.000 7.281
Au 0.000 0.000 10.867
Au 0.000 0.000 14.476
```

---

# 11
Computed, not measured: an optimized crystal structure of MgGaH2 at the GGA-PBE level of DFT.

Calculated values
* space-group type: Cm
* total magnetic moment: 0.000 μB/atom
* polymorph energy (0 for the lowest one): 0.0301 eV/atom

```
16
Lattice="-7.502 -3.996 -1.286 0.844 -2.121 1.669 -1.942 4.724 6.986" Properties=species:S:1:pos:R:3 pbc="T T T"
Mg -3.063 2.632 4.894
Mg -1.671 -0.790 2.236
Mg -8.227 -1.922 1.717
Mg -8.776 -0.621 6.044
Ga -4.238 -1.101 0.743
Ga -4.787 0.200 5.070
Ga -6.610 1.988 5.868
Ga -5.218 -1.435 3.210
H -0.985 -0.043 0.443
H -1.533 1.259 4.770
H -8.197 1.367 5.882
H -6.805 -2.055 3.224
H -2.403 0.955 2.428
H -2.952 2.256 6.755
H -8.890 -0.257 4.168
H -7.497 -3.680 1.510
```

---

# 12
Computed, not measured: an optimized crystal structure of CsZrI3 at the GGA-PBE level of DFT.

Calculated values
* ΔE_f (raw): -961 meV per atom
* space-group type: P2_1/c
* total magnetic moment: 0.000 μB/atom
* polymorph energy (0 for the lowest one): 0.0764 eV/atom

```
20
Lattice="-15.695 21.239 18.521 -0.542 -4.835 5.085 8.453 -5.770 -4.585" Properties=species:S:1:pos:R:3 pbc="T T T"
Cs 4.680 -2.093 -0.201
Cs -12.464 12.727 19.222
Cs -0.262 0.359 6.474
Cs -7.522 10.275 12.548
I 2.782 -3.535 5.613
I -10.566 14.170 13.408
I 1.355 -0.698 3.289
I -9.140 11.332 15.732
I -3.023 4.402 8.015
I -4.761 6.232 11.006
I -1.331 -3.207 5.831
I -6.453 13.841 13.190
I -1.384 1.537 10.146
I -6.400 9.098 8.875
I -10.192 15.316 17.439
I 2.407 -4.681 1.583
Zr -3.307 3.645 11.085
Zr -4.477 6.989 7.937
Zr -8.173 14.062 15.600
Zr 0.388 -3.428 3.421
```

---

Number 1: density 9.0 g/cm3. Number 2: density 11.3 g/cm3. Number 3: density 12.3 g/cm3. Number 4: density 6.8 g/cm3. Number 5: density 6.1 g/cm3. Number 6: density 14.8 g/cm3. Number 7: density 6.5 g/cm3. Number 8: density 8.1 g/cm3. Number 9: density 8.7 g/cm3. Number 10: density 12.8 g/cm3. Number 11: density 3.1 g/cm3. Number 12: density 4.6 g/cm3.